First-principles (PBE) data for Pu2ThCd2Hg2 after structural relaxation, as listed in Alexandria.

* formation energy: -0.064 eV/atom
* total magnetic moment: 12.21 μB/f.u.
* space-group type: C2/m

Cell: 5.098 5.098 8.390 Å, 106.31 106.31 58.95°
Fractional positions:
Pu1 0.140 0.140 0.434
Pu2 0.860 0.860 0.566
Th1 0.000 0.000 0.000
Cd1 0.416 0.416 0.260
Cd2 0.584 0.584 0.740
Hg1 0.279 0.279 0.828
Hg2 0.721 0.721 0.172



First-principles (PBE) data for PuTlCdHg after structural relaxation, as listed in Alexandria.

* formation energy: -0.074 eV/atom
* total magnetic moment: 5.61 μB/f.u.
* space-group type: F-43m

Cell: 5.235 5.235 5.235 Å, 60.00 60.00 60.00°
Fractional positions:
Pu1 0.000 0.000 0.000
Tl1 0.750 0.750 0.750
Cd1 0.500 0.500 0.500
Hg1 0.250 0.250 0.250



First-principles (PBE) data for YPuCdHg after structural relaxation, as listed in Alexandria.

* formation energy: -0.190 eV/atom
* total magnetic moment: 6.16 μB/f.u.
* space-group type: F-43m

Cell: 5.320 5.320 5.320 Å, 60.00 60.00 60.00°
Fractional positions:
Y1 0.000 0.000 0.000
Pu1 0.500 0.500 0.500
Cd1 0.750 0.750 0.750
Hg1 0.250 0.250 0.250



First-principles (PBE) data for PuZnCdHg after structural relaxation, as listed in Alexandria.

* formation energy: -0.087 eV/atom
* total magnetic moment: 5.53 μB/f.u.
* space-group type: F-43m

Cell: 5.037 5.037 5.037 Å, 60.00 60.00 60.00°
Fractional positions:
Pu1 0.000 0.000 0.000
Zn1 0.250 0.250 0.250
Cd1 0.500 0.500 0.500
Hg1 0.750 0.750 0.750



First-principles (PBE) data for PuZrCdHg after structural relaxation, as listed in Alexandria.

* formation energy: 0.023 eV/atom
* total magnetic moment: 6.99 μB/f.u.
* space-group type: F-43m

Cell: 5.167 5.167 5.167 Å, 60.00 60.00 60.00°
Fractional positions:
Pu1 0.000 0.000 0.000
Zr1 0.500 0.500 0.500
Cd1 0.750 0.750 0.750
Hg1 0.250 0.250 0.250



First-principles (PBE) data for Rb2Cd3Hg4 after structural relaxation, as listed in Alexandria.

* formation energy: -0.140 eV/atom
* total magnetic moment: 0.00 μB/f.u.
* space-group type: Fddd

Cell: 17.320 16.726 6.361 Å, 84.55 74.01 21.45°
Fractional positions:
Rb1 0.054 0.054 0.196
Rb2 0.196 0.196 0.054
Rb3 0.804 0.804 0.946
Rb4 0.946 0.946 0.804
Cd1 0.124 0.124 0.626
Cd2 0.374 0.374 0.876
Cd3 0.375 0.375 0.375
Cd4 0.625 0.625 0.625
Cd5 0.626 0.626 0.124
Cd6 0.876 0.876 0.374
Hg1 0.121 0.463 0.305
Hg2 0.305 0.611 0.121
Hg3 0.389 0.695 0.537
Hg4 0.463 0.121 0.611
Hg5 0.537 0.879 0.389
Hg6 0.611 0.305 0.463
Hg7 0.695 0.389 0.879
Hg8 0.879 0.537 0.695



First-principles (PBE) data for Rb3Cd6Hg after structural relaxation, as listed in Alexandria.

* formation energy: -0.039 eV/atom
* total magnetic moment: 0.00 μB/f.u.
* space-group type: C2/m

Cell: 7.480 7.480 7.733 Å, 106.13 106.13 56.52°
Fractional positions:
Rb1 0.000 0.000 0.000
Rb2 0.494 0.494 0.262
Rb3 0.506 0.506 0.738
Cd1 0.039 0.459 0.813
Cd2 0.216 0.216 0.450
Cd3 0.459 0.039 0.813
Cd4 0.541 0.961 0.187
Cd5 0.784 0.784 0.550
Cd6 0.961 0.541 0.187
Hg1 0.000 0.000 0.500



First-principles (PBE) data for Rb2Cd3Hg2 after structural relaxation, as listed in Alexandria.

* formation energy: -0.104 eV/atom
* total magnetic moment: 0.00 μB/f.u.
* space-group type: C2/m

Cell: 6.965 6.965 8.837 Å, 90.03 90.03 34.89°
Fractional positions:
Rb1 0.124 0.124 0.339
Rb2 0.876 0.876 0.661
Cd1 0.183 0.183 0.920
Cd2 0.500 0.500 0.000
Cd3 0.817 0.817 0.080
Hg1 0.397 0.397 0.308
Hg2 0.603 0.603 0.692



First-principles (PBE) data for Rb8CdHg2 after structural relaxation, as listed in Alexandria.

* formation energy: -0.080 eV/atom
* total magnetic moment: 0.00 μB/f.u.
* space-group type: C2/m

Cell: 12.381 12.381 9.228 Å, 106.48 106.48 29.80°
Fractional positions:
Rb1 0.035 0.035 0.295
Rb2 0.207 0.207 0.817
Rb3 0.330 0.330 0.533
Rb4 0.405 0.405 0.051
Rb5 0.595 0.595 0.949
Rb6 0.670 0.670 0.467
Rb7 0.793 0.793 0.183
Rb8 0.965 0.965 0.705
Cd1 0.500 0.500 0.500
Hg1 0.183 0.183 0.208
Hg2 0.817 0.817 0.792



First-principles (PBE) data for Rb4Cd4Hg after structural relaxation, as listed in Alexandria.

* formation energy: -0.045 eV/atom
* total magnetic moment: 0.00 μB/f.u.
* space-group type: P4_2/n

Cell: 10.500 10.500 7.125 Å, 90.00 90.00 90.00°
Fractional positions:
Rb1 0.059 0.671 0.118
Rb2 0.171 0.941 0.618
Rb3 0.329 0.559 0.618
Rb4 0.441 0.829 0.118
Rb5 0.559 0.171 0.882
Rb6 0.671 0.441 0.382
Rb7 0.829 0.059 0.382
Rb8 0.941 0.329 0.882
Cd1 0.096 0.313 0.391
Cd2 0.187 0.096 0.109
Cd3 0.313 0.404 0.109
Cd4 0.404 0.187 0.391
Cd5 0.596 0.813 0.609
Cd6 0.687 0.596 0.891
Cd7 0.813 0.904 0.891
Cd8 0.904 0.687 0.609
Hg1 0.250 0.250 0.750
Hg2 0.750 0.750 0.250



First-principles (PBE) data for RbCd4Hg8 after structural relaxation, as listed in Alexandria.

* formation energy: -0.065 eV/atom
* total magnetic moment: 0.00 μB/f.u.
* space-group type: I4/mmm

Cell: 8.228 8.228 8.228 Å, 97.91 97.91 136.46°
Fractional positions:
Rb1 0.000 0.000 0.000
Cd1 0.000 0.000 0.500
Cd2 0.000 0.500 0.000
Cd3 0.500 0.000 0.000
Cd4 0.500 0.500 0.500
Hg1 0.000 0.351 0.351
Hg2 0.000 0.649 0.649
Hg3 0.285 0.500 0.785
Hg4 0.351 0.000 0.351
Hg5 0.500 0.285 0.785
Hg6 0.500 0.715 0.215
Hg7 0.649 0.000 0.649
Hg8 0.715 0.500 0.215



First-principles (PBE) data for Rb2Cd3Hg2 after structural relaxation, as listed in Alexandria.

* formation energy: -0.120 eV/atom
* total magnetic moment: 0.00 μB/f.u.
* space-group type: C2/m

Cell: 6.694 6.694 8.114 Å, 111.88 111.88 45.16°
Fractional positions:
Rb1 0.152 0.152 0.280
Rb2 0.848 0.848 0.720
Cd1 0.399 0.399 0.078
Cd2 0.500 0.500 0.500
Cd3 0.601 0.601 0.922
Hg1 0.147 0.147 0.749
Hg2 0.853 0.853 0.251



First-principles (PBE) data for Rb3CdHg after structural relaxation, as listed in Alexandria.

* formation energy: 0.054 eV/atom
* total magnetic moment: 0.00 μB/f.u.
* space-group type: Pm-3m

Cell: 6.910 6.910 6.910 Å, 90.00 90.00 90.00°
Fractional positions:
Rb1 0.000 0.000 0.500
Rb2 0.000 0.500 0.000
Rb3 0.500 0.000 0.000
Cd1 0.500 0.500 0.500
Hg1 0.000 0.000 0.000



First-principles (PBE) data for Rb4Cd3Hg after structural relaxation, as listed in Alexandria.

* formation energy: -0.092 eV/atom
* total magnetic moment: 0.00 μB/f.u.
* space-group type: Pmm2

Cell: 5.276 5.370 13.350 Å, 90.00 90.00 90.00°
Fractional positions:
Rb1 0.000 0.000 0.000
Rb2 0.000 0.500 0.495
Rb3 0.500 0.000 0.701
Rb4 0.500 0.500 0.202
Cd1 0.000 0.500 0.798
Cd2 0.500 0.000 0.404
Cd3 0.500 0.500 0.902
Hg1 0.000 0.000 0.293



First-principles (PBE) data for Rb2Cd5Hg after structural relaxation, as listed in Alexandria.

* formation energy: -0.086 eV/atom
* total magnetic moment: 0.00 μB/f.u.
* space-group type: Cmcm

Cell: 9.741 9.741 10.642 Å, 90.00 90.00 148.47°
Fractional positions:
Rb1 0.000 0.000 0.000
Rb2 0.000 0.000 0.500
Rb3 0.195 0.805 0.750
Rb4 0.805 0.195 0.250
Cd1 0.189 0.811 0.113
Cd2 0.189 0.811 0.387
Cd3 0.342 0.658 0.015
Cd4 0.342 0.658 0.485
Cd5 0.399 0.601 0.750
Cd6 0.601 0.399 0.250
Cd7 0.658 0.342 0.515
Cd8 0.658 0.342 0.985
Cd9 0.811 0.189 0.613
Cd10 0.811 0.189 0.887
Hg1 0.440 0.560 0.250
Hg2 0.560 0.440 0.750



First-principles (PBE) data for Rb2Cd5Hg3 after structural relaxation, as listed in Alexandria.

* formation energy: -0.123 eV/atom
* total magnetic moment: 0.00 μB/f.u.
* space-group type: Ibam

Cell: 10.087 10.087 10.087 Å, 107.25 87.83 137.85°
Fractional positions:
Rb1 0.127 0.230 0.357
Rb2 0.373 0.730 0.103
Rb3 0.627 0.270 0.897
Rb4 0.873 0.770 0.643
Cd1 0.032 0.750 0.282
Cd2 0.141 0.898 0.040
Cd3 0.250 0.750 0.500
Cd4 0.359 0.398 0.757
Cd5 0.468 0.750 0.718
Cd6 0.532 0.250 0.282
Cd7 0.641 0.602 0.243
Cd8 0.750 0.250 0.500
Cd9 0.859 0.102 0.960
Cd10 0.968 0.250 0.718
Hg1 0.112 0.655 0.767
Hg2 0.250 0.250 0.000
Hg3 0.388 0.155 0.543
Hg4 0.612 0.845 0.457
Hg5 0.750 0.750 0.000
Hg6 0.888 0.345 0.233



First-principles (PBE) data for Rb2CdHg5 after structural relaxation, as listed in Alexandria.

* formation energy: -0.145 eV/atom
* total magnetic moment: 0.00 μB/f.u.
* space-group type: I4mm

Cell: 7.435 7.435 7.435 Å, 118.33 118.33 92.92°
Fractional positions:
Rb1 0.000 0.500 0.500
Rb2 0.500 0.000 0.500
Cd1 0.240 0.240 0.000
Hg1 0.531 0.531 0.000
Hg2 0.536 0.536 0.573
Hg3 0.536 0.964 0.000
Hg4 0.964 0.536 0.000
Hg5 0.964 0.964 0.427



First-principles (PBE) data for Rb2CdHg after structural relaxation, as listed in Alexandria.

* formation energy: -0.072 eV/atom
* total magnetic moment: 0.00 μB/f.u.
* space-group type: Fm-3m

Cell: 6.357 6.357 6.357 Å, 60.00 60.00 60.00°
Fractional positions:
Rb1 0.250 0.250 0.250
Rb2 0.750 0.750 0.750
Cd1 0.000 0.000 0.000
Hg1 0.500 0.500 0.500



First-principles (PBE) data for RbCd3Hg6 after structural relaxation, as listed in Alexandria.

* formation energy: -0.068 eV/atom
* total magnetic moment: 0.00 μB/f.u.
* space-group type: P1

Cell: 6.460 6.941 8.003 Å, 66.03 69.16 66.13°
Fractional positions:
Rb1 0.000 0.000 0.000
Cd1 0.293 0.290 0.140
Cd2 0.565 0.568 0.797
Cd3 0.803 0.470 0.426
Hg1 0.024 0.978 0.467
Hg2 0.059 0.566 0.814
Hg3 0.261 0.489 0.432
Hg4 0.532 0.955 0.448
Hg5 0.548 0.135 0.754
Hg6 0.595 0.706 0.096



First-principles (PBE) data for Rb2CdHg after structural relaxation, as listed in Alexandria.

* formation energy: -0.030 eV/atom
* total magnetic moment: 0.00 μB/f.u.
* space-group type: R3m

Cell: 8.147 8.147 8.147 Å, 41.78 41.78 41.78°
Fractional positions:
Rb1 0.000 0.000 0.000
Rb2 0.190 0.190 0.190
Cd1 0.442 0.442 0.442
Hg1 0.581 0.581 0.581